## Pm2PrSnO (GGA-PBE)

Data for an optimized crystal structure of Pm2PrSnO.

Structure (CIF):
```
data_Pm2PrSnO
_chemical_formula_sum 'Pm2 Pr1 Sn1 O1'
_symmetry_space_group_name_H-M 'P 4/m m m'
_symmetry_Int_Tables_number 123
_symmetry_space_group_name_Hall '-P 4 2'
_cell_length_a 4.919
_cell_length_b 4.919
_cell_length_c 5.042
_cell_angle_alpha 90.00
_cell_angle_beta 90.00
_cell_angle_gamma 90.00
loop_
_atom_site_label
_atom_site_type_symbol
_atom_site_fract_x
_atom_site_fract_y
_atom_site_fract_z
Pm1 Pm 0.000 0.500 0.000
Pr1 Pr 0.000 0.000 0.500
Sn1 Sn 0.500 0.500 0.500
O1 O 0.000 0.000 0.000
```

Output
The uncorrected formation energy is -1.46 eV per atom.